Here is a geometry-optimized PmTmScGa structure from the Alexandria database. Energies are from PBE-GGA.

Structure (POSCAR):
```
PmTmScGa
1.0
-3.743 -2.549 -2.610
-1.854 -4.525 1.845
-4.844 -0.240 1.948
Sc Tm Ga Pm
1 1 1 1
Cartesian
-7.830 -5.485 0.887 Sc
0.000 0.000 0.000 Tm
-2.610 -1.828 0.296 Ga
-5.220 -3.657 0.592 Pm
```

Calculated values
Crystal system: cubic
Magnetic moment (μB per cell): 1.0
Density of states at the Fermi level (states/eV/atom): 1.320
V (Å³ per cell): 100.9
E (eV/atom): -4.7838
Space group: F-43m



Here is a geometry-optimized PtW2 structure from the Alexandria database. Energies are from PBE-GGA.

Structure (POSCAR):
```
PtW2
1.0
6.692 0.002 0.000
5.581 3.692 0.000
-6.137 -1.847 1.927
Pt W
1 2
Cartesian
6.137 1.847 0.000 Pt
10.276 3.093 0.000 W
1.998 0.601 0.000 W
```

Calculated values
Crystal system: tetragonal
Magnetic moment (μB per cell): 0.0
Density of states at the Fermi level (states/eV/atom): 0.632
V (Å³ per cell): 47.6
Space group: I4/mmm
Offset from the most stable computed form (meV per atom): 9.2



Here is a geometry-optimized Sm2Ho4Ge3O2 structure from the Alexandria database. Energies are from PBE-GGA.

Structure (POSCAR):
```
Sm2Ho4Ge3O2
1.0
-1.883 2.377 -3.374
-0.309 -3.780 -2.490
-9.753 -1.418 7.495
Sm Ho Ge O
2 4 3 2
Cartesian
-6.554 -1.280 2.756 Sm
-5.391 -1.540 -1.126 Sm
-9.269 -3.670 2.588 Ho
-10.056 -0.592 2.146 Ho
-1.889 -2.229 -0.516 Ho
-2.676 0.850 -0.958 Ho
0.000 0.000 0.000 Ge
-3.757 -0.734 1.580 Ge
-8.188 -2.087 0.050 Ge
-8.833 -1.726 3.715 O
-3.112 -1.095 -2.084 O
```

Calculated values
Crystal system: tetragonal
Magnetic moment (μB per cell): 0.0
Density of states at the Fermi level (states/eV/atom): 0.720
V (Å³ per cell): 246.1
E (eV/atom): -6.2684
Space group: I4/mmm



Here is a geometry-optimized Cs2CdSnHg structure from the Alexandria database. Energies are from PBE-GGA.

Structure (POSCAR):
```
Cs2CdSnHg
1.0
-4.382 -0.085 -6.174
0.236 -7.567 -0.063
-4.451 -0.165 3.161
Cs Cd Hg Sn
2 1 1 1
Cartesian
0.118 -3.784 -0.031 Cs
-2.191 -0.043 -3.087 Cs
-2.225 -0.082 1.580 Cd
-4.298 -3.909 -1.538 Hg
0.000 0.000 0.000 Sn
```

Calculated values
Crystal system: tetragonal
Magnetic moment (μB per cell): 0.0
Density of states at the Fermi level (states/eV/atom): 0.343
V (Å³ per cell): 313.1
Space group: P4/mmm
Offset from the most stable computed form (meV per atom): 0.0



Here is a geometry-optimized InTc3O structure from the Alexandria database. Energies are from PBE-GGA.

Structure (POSCAR):
```
InTc3O
1.0
4.875 0.000 0.000
0.000 4.875 0.000
0.000 0.000 4.875
Tc O In
3 1 1
Cartesian
0.000 2.438 0.000 Tc
0.000 0.000 2.438 Tc
2.438 0.000 0.000 Tc
2.438 2.438 2.438 O
0.000 0.000 0.000 In
```

Calculated values
Crystal system: cubic
Magnetic moment (μB per cell): 0.0
Density of states at the Fermi level (states/eV/atom): 2.777
V (Å³ per cell): 115.9
Space group: Pm-3m
Offset from the most stable computed form (meV per atom): 3032.3



Here is a geometry-optimized SrCaIr structure from the Alexandria database. Energies are from PBE-GGA.

Structure (POSCAR):
```
SrCaIr
1.0
4.332 0.000 0.000
-2.166 3.752 0.000
0.000 0.000 6.422
Sr Ca Ir
1 1 1
Cartesian
0.000 2.501 3.631 Sr
0.000 0.000 0.750 Ca
2.166 1.251 2.041 Ir
```

Calculated values
Crystal system: trigonal
Magnetic moment (μB per cell): 0.0
Density of states at the Fermi level (states/eV/atom): 0.703
V (Å³ per cell): 104.4
Space group: P3m1
Offset from the most stable computed form (meV per atom): 132.5



Here is a geometry-optimized Fe3TeAu structure from the Alexandria database. Energies are from PBE-GGA.

Structure (POSCAR):
```
Fe3TeAu
1.0
-2.236 3.688 2.109
-2.765 0.545 -3.887
-3.226 -3.025 1.870
Te Au Fe
1 1 3
Cartesian
-4.114 0.605 0.046 Te
0.000 0.000 0.000 Au
-1.383 0.273 -1.943 Fe
-1.613 -1.512 0.935 Fe
-1.118 1.844 1.054 Fe
```

Calculated values
Crystal system: cubic
Magnetic moment (μB per cell): 9.5
Density of states at the Fermi level (states/eV/atom): 1.777
V (Å³ per cell): 110.7
Space group: Pm-3m
Offset from the most stable computed form (meV per atom): 0.0



Here is a geometry-optimized CoB structure from the Alexandria database. Energies are from PBE-GGA.

Structure (POSCAR):
```
CoB
1.0
-1.352 1.272 -5.760
-5.894 -0.527 1.267
-0.148 3.707 0.853
Co B
8 8
Cartesian
-1.073 0.340 -1.664 Co
-6.173 0.405 -2.828 Co
-3.049 0.967 -4.729 Co
-4.197 -0.222 0.236 Co
-4.769 2.566 -3.484 Co
-2.624 1.886 -0.155 Co
-5.394 1.921 -0.789 Co
-2.000 2.531 -2.851 Co
-4.686 0.185 -1.615 B
-2.560 0.560 -2.878 B
-2.966 0.159 -1.204 B
-4.280 0.586 -3.289 B
-2.489 2.938 -4.702 B
-4.905 1.515 1.062 B
-6.662 2.385 -3.024 B
-0.731 2.067 -0.616 B
```

Calculated values
Crystal system: tetragonal
Magnetic moment (μB per cell): 0.0
Density of states at the Fermi level (states/eV/atom): 0.977
V (Å³ per cell): 139.4
E (eV/atom): -6.8957
Space group: I4/m



Here is a geometry-optimized LaZn3Rh structure from the Alexandria database. Energies are from PBE-GGA.

Structure (POSCAR):
```
LaZn3Rh
1.0
-2.240 4.526 2.208
-4.783 -1.155 -2.483
-1.576 -2.925 4.397
Zn Rh La
3 1 1
Cartesian
-2.391 -0.578 -1.241 Zn
-0.788 -1.462 2.199 Zn
-1.120 2.263 1.104 Zn
-4.299 0.223 2.061 Rh
0.000 0.000 0.000 La
```

Calculated values
Crystal system: cubic
Magnetic moment (μB per cell): 0.3
Density of states at the Fermi level (states/eV/atom): 2.665
V (Å³ per cell): 167.4
Space group: Pm-3m
Offset from the most stable computed form (meV per atom): 1933.9



Here is a geometry-optimized Th8Te4PtRh3 structure from the Alexandria database. Energies are from PBE-GGA.

Structure (POSCAR):
```
Th8Te4PtRh3
1.0
-0.463 5.865 -5.997
0.828 -6.438 -6.360
-6.242 -0.816 5.568
Th Te Pt Rh
8 4 1 3
Cartesian
-5.569 -3.938 -0.518 Th
-2.489 -3.535 -3.265 Th
-3.183 -0.774 -0.511 Th
-5.797 -1.044 -3.477 Th
-0.080 -0.345 -3.312 Th
-2.694 -0.615 -6.278 Th
-3.388 2.146 -3.524 Th
-0.308 2.549 -6.271 Th
-0.231 2.932 -2.999 Te
-3.352 2.525 -0.215 Te
0.000 0.000 0.000 Te
-3.121 -0.408 2.784 Te
0.414 -3.219 -3.180 Pt
0.183 -0.287 -6.178 Rh
-2.939 -0.695 -3.395 Rh
-2.707 -3.627 -0.396 Rh
```

Calculated values
Crystal system: trigonal
Magnetic moment (μB per cell): 0.0
Density of states at the Fermi level (states/eV/atom): 0.802
V (Å³ per cell): 469.8
E (eV/atom): -7.3213
Space group: R-3m



Here is a geometry-optimized Ho2Zn3Au5 structure from the Alexandria database. Energies are from PBE-GGA.

Structure (POSCAR):
```
Ho2Zn3Au5
1.0
4.339 0.000 -0.739
0.000 7.399 0.000
-0.174 0.000 12.084
Ho Zn Au
4 6 10
Cartesian
1.901 4.892 11.161 Ho
0.732 6.170 4.298 Ho
3.433 2.470 7.047 Ho
2.264 1.192 0.184 Ho
3.312 6.465 6.336 Zn
2.653 3.123 2.468 Zn
0.198 6.513 1.160 Zn
0.853 2.765 5.009 Zn
3.968 2.813 10.185 Zn
1.512 6.823 8.877 Zn
1.594 2.071 9.356 Au
1.203 4.689 7.062 Au
2.962 0.989 4.283 Au
0.458 1.346 2.691 Au
1.128 0.637 6.624 Au
3.956 0.090 10.117 Au
3.037 4.336 4.721 Au
3.707 5.046 8.654 Au
0.209 3.790 1.228 Au
2.571 5.771 1.989 Au
```

Calculated values
Crystal system: orthorhombic
Magnetic moment (μB per cell): 0.0
Density of states at the Fermi level (states/eV/atom): 0.490
V (Å³ per cell): 387.0
Space group: Cmc2_1
Offset from the most stable computed form (meV per atom): 0.0



Here is a geometry-optimized KCaIr3 structure from the Alexandria database. Energies are from PBE-GGA.

Structure (POSCAR):
```
KCaIr3
1.0
-1.651 -3.341 3.071
2.552 -3.385 -2.311
3.752 0.833 2.923
Ca Ir K
1 3 1
Cartesian
2.327 -2.947 1.841 Ca
1.276 -1.693 -1.156 Ir
1.876 0.416 1.461 Ir
-0.825 -1.670 1.535 Ir
0.000 0.000 0.000 K
```

Calculated values
Crystal system: cubic
Magnetic moment (μB per cell): 1.1
Density of states at the Fermi level (states/eV/atom): 1.935
V (Å³ per cell): 112.6
Space group: Pm-3m
Offset from the most stable computed form (meV per atom): 294.6



Here is a geometry-optimized TiIn2Ge structure from the Alexandria database. Energies are from PBE-GGA.

Structure (POSCAR):
```
TiIn2Ge
1.0
-4.648 -3.594 -5.324
-1.254 -5.938 5.103
-5.178 -3.411 0.919
Ge Ti In
2 2 4
Cartesian
0.000 0.000 0.000 Ge
-6.389 -5.886 -2.258 Ge
-2.951 -4.766 -0.111 Ti
-4.692 -7.058 2.956 Ti
-4.432 -3.900 -2.547 In
-2.584 -4.955 2.841 In
-6.077 -6.036 0.523 In
-9.069 -10.996 0.579 In
```

Calculated values
Crystal system: tetragonal
Magnetic moment (μB per cell): 0.0
Density of states at the Fermi level (states/eV/atom): 0.943
V (Å³ per cell): 176.3
Space group: I-42d
Offset from the most stable computed form (meV per atom): 0.0



Here is a geometry-optimized LiTb6Rh5 structure from the Alexandria database. Energies are from PBE-GGA.

Structure (POSCAR):
```
LiTb6Rh5
1.0
4.623 0.004 -1.423
-0.772 6.539 -2.492
0.072 -0.559 8.456
Rh Tb Li
5 6 1
Cartesian
0.965 5.104 3.150 Rh
2.597 4.183 0.227 Rh
-0.386 3.269 -1.246 Rh
1.326 1.801 4.315 Rh
2.958 0.880 1.392 Rh
0.484 2.588 1.580 Tb
0.105 5.799 0.356 Tb
2.111 1.701 -1.359 Tb
1.740 4.841 -2.555 Tb
3.819 0.185 4.186 Tb
3.439 3.396 2.963 Tb
0.000 0.000 0.000 Li
```

Calculated values
Crystal system: orthorhombic
Magnetic moment (μB per cell): 0.0
Density of states at the Fermi level (states/eV/atom): 0.442
V (Å³ per cell): 249.3
E (eV/atom): -6.2648
Space group: Immm



Here is a geometry-optimized La3HO3 structure from the Alexandria database. Energies are from PBE-GGA.

Structure (POSCAR):
```
La3HO3
1.0
-1.556 4.732 -0.451
-4.371 -1.238 2.092
1.868 1.045 4.521
La H O
3 1 3
Cartesian
0.156 2.889 2.035 La
-2.964 1.747 0.821 La
-1.252 -0.097 3.307 La
-2.030 2.270 3.081 H
-2.186 -0.619 1.046 O
0.934 0.523 2.260 O
-0.778 2.366 -0.225 O
```

Calculated values
Crystal system: cubic
Magnetic moment (μB per cell): 1.5
Density of states at the Fermi level (states/eV/atom): 0.524
V (Å³ per cell): 125.1
Space group: Pm-3m
Offset from the most stable computed form (meV per atom): 425.9



Here is a geometry-optimized ScTlRe2I structure from the Alexandria database. Energies are from PBE-GGA.

Structure (POSCAR):
```
ScTlRe2I
1.0
-2.388 0.485 -4.418
-3.561 -3.572 1.532
-2.852 3.679 1.946
I Re Tl Sc
1 2 1 1
Cartesian
-4.401 0.296 -0.470 I
-1.426 1.839 0.973 Re
-1.194 0.243 -2.209 Re
0.000 0.000 0.000 Tl
-1.780 -1.786 0.766 Sc
```

Calculated values
Crystal system: tetragonal
Magnetic moment (μB per cell): 0.0
Density of states at the Fermi level (states/eV/atom): 1.364
V (Å³ per cell): 134.2
E (eV/atom): -4.7494
Space group: P4/mmm



Here is a geometry-optimized PuAg2Pb structure from the Alexandria database. Energies are from PBE-GGA.

Structure (POSCAR):
```
PuAg2Pb
1.0
4.346 0.000 0.000
0.000 4.733 0.000
0.000 0.000 4.733
Pb Ag Pu
1 2 1
Cartesian
2.173 0.000 0.000 Pb
0.000 0.000 2.366 Ag
0.000 2.366 0.000 Ag
2.173 2.366 2.366 Pu
```

Calculated values
Crystal system: tetragonal
Magnetic moment (μB per cell): 6.1
Density of states at the Fermi level (states/eV/atom): 3.964
V (Å³ per cell): 97.4
E (eV/atom): -5.8425
Space group: P4/mmm



Here is a geometry-optimized Ac3PmY2Te6 structure from the Alexandria database. Energies are from PBE-GGA.

Structure (POSCAR):
```
Ac3PmY2Te6
1.0
4.479 0.000 0.000
0.000 9.314 0.118
-2.239 -2.906 9.636
Ac Pm Y Te
3 1 2 6
Cartesian
2.239 4.657 0.059 Ac
2.239 -0.380 6.491 Ac
0.000 6.788 3.264 Ac
2.239 0.000 0.000 Pm
2.239 4.292 6.525 Y
0.000 2.116 3.230 Y
0.000 6.445 6.579 Te
2.239 4.283 3.401 Te
2.239 -0.037 3.176 Te
0.000 2.212 0.159 Te
2.239 4.196 9.596 Te
0.000 2.125 6.353 Te
```

Calculated values
Crystal system: monoclinic
Magnetic moment (μB per cell): 0.0
Density of states at the Fermi level (states/eV/atom): 0.509
V (Å³ per cell): 403.5
E (eV/atom): -5.4848
Space group: C2/m



Here is a geometry-optimized TaPt2Au structure from the Alexandria database. Energies are from PBE-GGA.

Structure (POSCAR):
```
TaPt2Au
1.0
4.129 0.177 -1.657
-2.412 3.659 -0.788
-0.151 -0.176 4.452
Ta Pt Au
1 2 1
Cartesian
0.218 2.788 -0.306 Ta
-2.411 3.659 -0.787 Pt
2.846 1.918 0.175 Pt
1.348 0.871 2.314 Au
```

Calculated values
Crystal system: tetragonal
Magnetic moment (μB per cell): 0.0
Density of states at the Fermi level (states/eV/atom): 0.655
V (Å³ per cell): 67.0
Space group: I4/mmm
Offset from the most stable computed form (meV per atom): 75.6



Here is a geometry-optimized KCrPb2 structure from the Alexandria database. Energies are from PBE-GGA.

Structure (POSCAR):
```
KCrPb2
1.0
4.247 -3.181 0.965
-0.679 -5.327 0.502
1.808 -3.324 -3.844
Pb Cr K
2 1 1
Cartesian
1.344 -2.958 -0.594 Pb
4.033 -8.874 -1.782 Pb
2.688 -5.916 -1.188 Cr
0.000 0.000 0.000 K
```

Calculated values
Crystal system: cubic
Magnetic moment (μB per cell): 4.6
Density of states at the Fermi level (states/eV/atom): 0.637
V (Å³ per cell): 110.9
Space group: Fm-3m
Offset from the most stable computed form (meV per atom): 206.3



Here is a geometry-optimized MnNb2Se structure from the Alexandria database. Energies are from PBE-GGA.

Structure (POSCAR):
```
MnNb2Se
1.0
-1.149 -3.068 -4.203
-0.905 -4.121 3.256
-7.080 -1.922 -0.040
Nb Mn Se
4 2 2
Cartesian
-2.546 -2.765 -2.027 Nb
-2.535 -3.588 1.297 Nb
-6.124 -4.337 -0.228 Nb
-7.064 -7.534 -1.016 Nb
-1.027 -3.595 -0.474 Mn
-4.506 -4.819 1.371 Mn
0.000 0.000 0.000 Se
-4.628 -4.293 -2.358 Se
```

Calculated values
Crystal system: tetragonal
Magnetic moment (μB per cell): 0.0
Density of states at the Fermi level (states/eV/atom): 1.083
V (Å³ per cell): 178.8
E (eV/atom): -7.5054
Space group: I-42d



Here is a geometry-optimized H3PdF structure from the Alexandria database. Energies are from PBE-GGA.

Structure (POSCAR):
```
H3PdF
1.0
3.409 0.000 0.000
0.000 3.409 0.000
0.000 0.000 3.409
H Pd F
3 1 1
Cartesian
0.000 1.704 0.000 H
0.000 0.000 1.704 H
1.704 0.000 0.000 H
0.000 0.000 0.000 Pd
1.704 1.704 1.704 F
```

Calculated values
Crystal system: cubic
Magnetic moment (μB per cell): 0.0
Density of states at the Fermi level (states/eV/atom): 0.168
V (Å³ per cell): 39.6
Space group: Pm-3m
Offset from the most stable computed form (meV per atom): 0.0



Here is a geometry-optimized Li2Zn3Ga structure from the Alexandria database. Energies are from PBE-GGA.

Structure (POSCAR):
```
Li2Zn3Ga
1.0
2.827 0.000 0.000
0.000 4.384 0.000
0.000 0.000 7.616
Li Zn Ga
2 3 1
Cartesian
0.000 2.192 7.607 Li
0.000 0.000 3.820 Li
1.414 0.000 6.340 Zn
1.414 0.000 1.239 Zn
1.414 2.192 5.102 Zn
1.414 2.192 2.547 Ga
```

Calculated values
Crystal system: orthorhombic
Magnetic moment (μB per cell): 0.0
Density of states at the Fermi level (states/eV/atom): 0.289
V (Å³ per cell): 94.4
Space group: Pmm2
Offset from the most stable computed form (meV per atom): 6.1



Here is a geometry-optimized Sr2LiHgN structure from the Alexandria database. Energies are from PBE-GGA.

Structure (POSCAR):
```
Sr2LiHgN
1.0
-1.914 -4.591 -1.954
3.769 -2.702 2.657
-2.596 -0.339 3.338
Sr Li Hg N
2 1 1 1
Cartesian
1.884 -1.351 1.328 Sr
-0.957 -2.296 -0.977 Sr
-1.298 -0.169 1.669 Li
-0.370 -3.816 2.020 Hg
0.000 0.000 0.000 N
```

Calculated values
Crystal system: tetragonal
Magnetic moment (μB per cell): 0.0
Density of states at the Fermi level (states/eV/atom): 0.697
V (Å³ per cell): 121.2
E (eV/atom): -3.1978
Space group: P4/mmm



Here is a geometry-optimized Co2TcP structure from the Alexandria database. Energies are from PBE-GGA.

Structure (POSCAR):
```
Co2TcP
1.0
4.389 -0.003 0.000
-1.647 4.069 0.000
0.000 0.000 2.638
Co P Tc
2 1 1
Cartesian
0.000 0.000 0.000 Co
1.371 2.033 0.000 Co
2.195 -0.002 1.319 P
-0.824 2.034 1.319 Tc
```

Calculated values
Crystal system: orthorhombic
Magnetic moment (μB per cell): 0.0
Density of states at the Fermi level (states/eV/atom): 1.341
V (Å³ per cell): 47.1
E (eV/atom): -7.4703
Space group: Cmmm